# 1
# PrDy2Pu

A relaxed PrDy2Pu crystal (PBE, Alexandria via LeMat-Bulk).

Results
energy of formation from the pure elements: 0.2344 eV per atom
energy: -6.84 eV per atom
relative energy among the computed polymorphs: 0.130 eV/atom

a b c (Å): 3.450 3.450 36.968
angles (deg): 90.00 90.00 120.00
Fractional coordinates of all 12 atoms:
Pr (0.000, 0.000, 0.000)
Pr (0.333, 0.667, 0.667)
Pr (0.667, 0.333, 0.333)
Dy (0.000, 0.000, 0.092)
Dy (0.000, 0.000, 0.908)
Dy (0.333, 0.667, 0.575)
Dy (0.333, 0.667, 0.759)
Dy (0.667, 0.333, 0.241)
Dy (0.667, 0.333, 0.425)
Pu (0.000, 0.000, 0.500)
Pu (0.333, 0.667, 0.167)
Pu (0.667, 0.333, 0.833)


# 2
# Mg3WSe

A relaxed Mg3WSe crystal (PBE, Alexandria via LeMat-Bulk).

Results
uncorrected formation energy: 1.234 eV per atom
energy: -3.01 eV per atom
relative energy among the computed polymorphs: 0.349 eV/atom

a b c (Å): 5.294 5.294 5.294
angles (deg): 90.00 90.00 90.00
Fractional coordinates of all 5 atoms:
Mg (0.000, 0.000, 0.500)
Mg (0.000, 0.500, 0.000)
Mg (0.500, 0.000, 0.000)
W (0.000, 0.000, 0.000)
Se (0.500, 0.500, 0.500)


# 3
# Y2HfAgN

A relaxed Y2HfAgN crystal (PBE, Alexandria via LeMat-Bulk).

Results
uncorrected formation energy: -0.713 eV per atom
energy: -7.52 eV per atom

a b c (Å): 4.873 4.873 4.334
angles (deg): 90.00 90.00 90.00
Fractional coordinates of all 5 atoms:
Y (0.000, 0.500, 0.000)
Y (0.500, 0.000, 0.000)
Hf (0.000, 0.000, 0.500)
Ag (0.500, 0.500, 0.500)
N (0.000, 0.000, 0.000)